GGA+U SrMn3B4O12, relaxed; D(E_F) = 0.1588 states/eV per atom; uncorrected energy = -7.63 eV per atom; V = 10.54 Å³/atom
1.0
4.8303 2.7888 2.6074
-4.8303 2.7888 2.6074
0.0000 -5.5775 2.6074
Sr Mn B O
1 3 4 12
Cartesian
0.0000 0.0000 0.0000
-2.6561 -0.9770 2.6074
2.1742 -1.8118 2.6074
0.4819 2.7888 2.6074
-2.1427 -3.7113 3.9111
0.0000 0.0000 3.9111
-2.1427 3.7113 3.9111
4.2854 0.0000 3.9111
-2.8700 -2.5778 3.6746
-3.9573 0.0000 3.9111
-0.7975 -3.7744 4.1477
-1.3851 0.0000 3.9111
-2.8700 2.5778 4.1477
1.9787 -3.4271 3.9111
0.6926 -1.1995 3.9111
-0.7975 3.7744 3.6746
0.6926 1.1995 3.9111
3.6674 -1.1966 3.6746
1.9787 3.4271 3.9111
3.6674 1.1966 4.1477